Record 1
Crystalline ZrNpTc2 at its relaxed geometry, computed with GGA-PBE.

The energy above the most stable polymorph in this dataset comes out at 0.000 eV per atom. The calculated volume is 73 Å³ per cell. The crystal system is tetragonal. The space group is No. 123.

Lattice parameters (Å, degrees): 3.314 3.314 6.644 90.00 90.00 90.00
Site moments in Bohr magnetons follow the coordinates.
Element x y z (fractional)
Np  0.500  0.500  0.000  2.80
Zr  0.500  0.500  0.500  0.11
Tc  0.000  0.000  0.240  -0.32
Tc  0.000  0.000  0.760  -0.32



Record 2
Crystalline ZrNpTc2 at its relaxed geometry, computed with GGA-PBE.

The energy above the most stable polymorph in this dataset comes out at 0.021 eV per atom. The calculated volume is 73 Å³ per cell. The crystal system is cubic. The space group is No. 225.

Lattice parameters (Å, degrees): 4.698 4.698 4.698 60.00 60.00 60.00
Site moments in Bohr magnetons follow the coordinates.
Element x y z (fractional)
Np  0.000  0.000  0.000  3.14
Tc  0.250  0.250  0.250  -0.24
Tc  0.750  0.750  0.750  -0.24
Zr  0.500  0.500  0.500  0.09



Record 3
Crystalline ZrNpTc at its relaxed geometry, computed with GGA-PBE.

The calculated volume is 60 Å³ per cell. The calculation puts the total energy at -31.59 eV/cell. The crystal system is tetragonal. The space group is No. 107.

Lattice parameters (Å, degrees): 3.304 3.304 5.940 106.15 106.15 90.00
Site moments in Bohr magnetons follow the coordinates.
Element x y z (fractional)
Tc  0.619  0.619  0.239  -0.24
Zr  0.963  0.963  0.927  0.08
Np  0.267  0.267  0.535  3.35



Record 4
Crystalline NpTe3 at its relaxed geometry, computed with GGA-PBE.

The calculated volume is 224 Å³ per cell. The crystal system is hexagonal. The space group is No. 194. For the uncorrected formation energy, the calculation gives -276 meV per atom.

Lattice parameters (Å, degrees): 6.556 6.556 6.013 90.00 90.00 120.00
Site moments in Bohr magnetons follow the coordinates.
Element x y z (fractional)
Te  0.827  0.654  0.750  -0.09
Te  0.173  0.346  0.250  -0.09
Te  0.173  0.827  0.250  -0.09
Te  0.654  0.827  0.250  -0.09
Te  0.827  0.173  0.750  -0.09
Te  0.346  0.173  0.750  -0.09
Np  0.333  0.667  0.750  3.87
Np  0.667  0.333  0.250  3.87